Computed, not measured: a relaxed structure of Pu2VSi4Pt3 at the PBE level of DFT.

Geometry as CIF:
```
data_Pu2VSi4Pt3
_chemical_formula_sum 'Pu2 V1 Si4 Pt3'
_space_group_name_H-M_alt 'P -4 m 2'
_space_group_IT_number 115
_cell_length_a 4.1650
_cell_length_b 4.1650
_cell_length_c 10.0921
_cell_angle_alpha 90.00
_cell_angle_beta 90.00
_cell_angle_gamma 90.00
loop_
_space_group_symop_operation_xyz
'x,y,z'
'y,-x,-z'
'-x,-y,z'
'-y,x,-z'
'-x,y,z'
'-y,-x,-z'
'x,-y,z'
'y,x,-z'
loop_
_atom_site_label
_atom_site_fract_x
_atom_site_fract_y
_atom_site_fract_z
Pu1 0.0000 0.5000 0.2493
V1 0.5000 0.5000 0.0000
Si1 0.0000 0.0000 0.5000
Si2 0.0000 0.5000 0.8642
Si3 0.5000 0.5000 0.5000
Pt1 0.0000 0.0000 0.0000
Pt2 0.0000 0.5000 0.6229
```

Computed properties:
As for the total energy: -8.551 eV per atom. As for the crystal system: tetragonal. The uncorrected formation energy comes out at -763.6 kJ/mol of formula units.

=====

Computed, not measured: a relaxed structure of Li2TaPt5 at the PBE level of DFT.

Geometry as CIF:
```
data_Li2TaPt5
_chemical_formula_sum 'Li4 Ta2 Pt10'
_space_group_name_H-M_alt 'I 4/m m m'
_space_group_IT_number 139
_space_group_name_Hall '-I 4 2'
_cell_length_a 4.0316
_cell_length_b 4.0316
_cell_length_c 14.3669
_cell_angle_alpha 90.00
_cell_angle_beta 90.00
_cell_angle_gamma 90.00
loop_
_atom_site_label
_atom_site_fract_x
_atom_site_fract_y
_atom_site_fract_z
Li1 0.0000 0.0000 0.2483
Ta1 0.0000 0.0000 0.5000
Pt1 0.0000 0.0000 0.0000
Pt2 0.0000 0.5000 0.1335
```

Computed properties:
As for the total energy: -6.347 eV per atom. As for the crystal system: tetragonal. The calculation puts the formation energy at -0.61 eV/atom.

=====

Computed, not measured: a relaxed structure of Ga2Cu7Si2Au at the PBE level of DFT.

Geometry as CIF:
```
data_Ga2Cu7Si2Au
_chemical_formula_sum 'Ga4 Cu14 Si4 Au2'
_space_group_name_H-M_alt 'C 1 2/m 1'
_space_group_IT_number 12
_cell_length_a 5.3284
_cell_length_b 5.5628
_cell_length_c 11.2936
_cell_angle_alpha 90.00
_cell_angle_beta 90.17
_cell_angle_gamma 90.00
loop_
_space_group_symop_operation_xyz
'x,y,z'
'-x,-y,-z'
'-x,y,-z'
'x,-y,z'
'x+1/2,y+1/2,z'
'-x+1/2,-y+1/2,-z'
'-x+1/2,y+1/2,-z'
'x+1/2,-y+1/2,z'
loop_
_atom_site_label
_atom_site_fract_x
_atom_site_fract_y
_atom_site_fract_z
Ga1 0.0008 0.0000 0.1784
Cu1 0.0000 0.0000 0.5000
Cu2 0.2348 0.5000 0.0001
Cu3 0.2491 0.2498 0.6686
Si1 0.0003 0.5000 0.1877
Au1 0.0000 0.5000 0.5000
```

Computed properties:
As for the total energy: -4.044 eV per atom. As for the crystal system: monoclinic. The uncorrected formation energy comes out at 31.0 kJ/mol of formula units.

=====

Computed, not measured: a relaxed structure of GdDyTlGe at the PBE level of DFT.

Geometry as CIF:
```
data_GdDyTlGe
_chemical_formula_sum 'Gd4 Dy4 Tl4 Ge4'
_space_group_name_H-M_alt 'F -4 3 m'
_space_group_IT_number 216
_space_group_name_Hall 'F -4 2 3'
_cell_length_a 7.4172
_cell_length_b 7.4172
_cell_length_c 7.4172
_cell_angle_alpha 90.00
_cell_angle_beta 90.00
_cell_angle_gamma 90.00
loop_
_atom_site_label
_atom_site_fract_x
_atom_site_fract_y
_atom_site_fract_z
Gd1 0.0000 0.0000 0.0000
Dy1 0.0000 0.0000 0.5000
Tl1 0.2500 0.2500 0.7500
Ge1 0.2500 0.2500 0.2500
```

Computed properties:
As for the total energy: -6.861 eV per atom. As for the crystal system: cubic. The calculation puts the formation energy at -0.44 eV/atom.

=====

Computed, not measured: a relaxed structure of FeNiOs2 at the PBE level of DFT.

Geometry as CIF:
```
data_FeNiOs2
_chemical_formula_sum 'Fe4 Ni4 Os8'
_space_group_name_H-M_alt 'F m -3 m'
_space_group_IT_number 225
_space_group_name_Hall '-F 4 2 3'
_cell_length_a 5.8932
_cell_length_b 5.8932
_cell_length_c 5.8932
_cell_angle_alpha 90.00
_cell_angle_beta 90.00
_cell_angle_gamma 90.00
loop_
_atom_site_label
_atom_site_fract_x
_atom_site_fract_y
_atom_site_fract_z
Fe1 0.0000 0.0000 0.0000
Ni1 0.0000 0.0000 0.5000
Os1 0.2500 0.2500 0.2500
```

Computed properties:
As for the total energy: -8.916 eV per atom. As for the crystal system: cubic. The calculation puts the formation energy at 0.26 eV/atom. For the relative energy among the computed polymorphs, the calculation gives 156.3 meV per atom.

=====

Computed, not measured: a relaxed structure of Ac3Nd3Tl2 at the PBE level of DFT.

Geometry as CIF:
```
data_Ac3Nd3Tl2
_chemical_formula_sum 'Ac12 Nd12 Tl8'
_space_group_name_H-M_alt 'C m c m'
_space_group_IT_number 63
_space_group_name_Hall '-C 2c 2'
_cell_length_a 5.1983
_cell_length_b 13.0066
_cell_length_c 17.7344
_cell_angle_alpha 90.00
_cell_angle_beta 90.00
_cell_angle_gamma 90.00
loop_
_atom_site_label
_atom_site_fract_x
_atom_site_fract_y
_atom_site_fract_z
Ac1 0.0000 0.0517 0.1110
Ac2 0.0000 0.3310 0.2500
Nd1 0.0000 0.3652 0.0360
Nd2 0.0000 0.3883 0.7500
Tl1 0.0000 0.2288 0.6156
```

Computed properties:
As for the total energy: -4.037 eV per atom. As for the crystal system: orthorhombic. The calculation puts the formation energy at -0.12 eV/atom.

=====

Computed, not measured: a relaxed structure of BaNiP2 at the PBE level of DFT.

Geometry as CIF:
```
data_BaNiP2
_chemical_formula_sum 'Ba4 Ni4 P8'
_space_group_name_H-M_alt 'C 1 2 1'
_space_group_IT_number 5
_cell_length_a 11.5792
_cell_length_b 6.7564
_cell_length_c 5.2726
_cell_angle_alpha 90.00
_cell_angle_beta 94.62
_cell_angle_gamma 90.00
loop_
_space_group_symop_operation_xyz
'x,y,z'
'-x,y,-z'
'x+1/2,y+1/2,z'
'-x+1/2,y+1/2,-z'
loop_
_atom_site_label
_atom_site_fract_x
_atom_site_fract_y
_atom_site_fract_z
Ba1 0.2038 0.0000 0.2308
Ni1 0.0000 0.5306 0.5000
Ni2 0.0000 0.6306 0.0000
P1 0.0520 0.8241 0.6869
P2 0.1329 0.4708 0.2356
```

Computed properties:
As for the total energy: -5.164 eV per atom. As for the crystal system: monoclinic. The calculation puts the formation energy at -0.53 eV/atom.

=====

Computed, not measured: a relaxed structure of La2LuRh at the PBE level of DFT.

Geometry as CIF:
```
data_La2LuRh
_chemical_formula_sum 'La2 Lu1 Rh1'
_space_group_name_H-M_alt 'P 4/m m m'
_space_group_IT_number 123
_space_group_name_Hall '-P 4 2'
_cell_length_a 3.7489
_cell_length_b 3.7489
_cell_length_c 8.0189
_cell_angle_alpha 90.00
_cell_angle_beta 90.00
_cell_angle_gamma 90.00
loop_
_atom_site_label
_atom_site_fract_x
_atom_site_fract_y
_atom_site_fract_z
La1 0.0000 0.0000 0.2028
Lu1 0.5000 0.5000 0.5000
Rh1 0.5000 0.5000 0.0000
```

Computed properties:
As for the total energy: -5.697 eV per atom. As for the crystal system: tetragonal. The calculation puts the formation energy at -0.26 eV/atom.

=====

Computed, not measured: a relaxed structure of BaCaPb2Se4 at the PBE level of DFT.

Geometry as CIF:
```
data_BaCaPb2Se4
_chemical_formula_sum 'Ba4 Ca4 Pb8 Se16'
_space_group_name_H-M_alt 'I m m a'
_space_group_IT_number 74
_space_group_name_Hall '-I 2b 2'
_cell_length_a 8.8876
_cell_length_b 8.9109
_cell_length_c 12.5706
_cell_angle_alpha 90.00
_cell_angle_beta 90.00
_cell_angle_gamma 90.00
loop_
_atom_site_label
_atom_site_fract_x
_atom_site_fract_y
_atom_site_fract_z
Ba1 0.0000 0.0000 0.0000
Ca1 0.2500 0.2500 0.2500
Pb1 0.0000 0.0000 0.5000
Pb2 0.2500 0.2500 0.7500
Se1 0.0000 0.0091 0.2552
Se2 0.2401 0.2500 0.4942
```

Computed properties:
As for the total energy: -4.417 eV per atom. As for the crystal system: orthorhombic. The uncorrected formation energy comes out at -970.7 kJ/mol of formula units.

=====

Computed, not measured: a relaxed structure of Tl2CdP at the PBE level of DFT.

Geometry as CIF:
```
data_Tl2CdP
_chemical_formula_sum 'Tl8 Cd4 P4'
_space_group_name_H-M_alt 'I -4 2 d'
_space_group_IT_number 122
_space_group_name_Hall 'I -4 2bw'
_cell_length_a 7.1279
_cell_length_b 7.1279
_cell_length_c 10.4083
_cell_angle_alpha 90.00
_cell_angle_beta 90.00
_cell_angle_gamma 90.00
loop_
_atom_site_label
_atom_site_fract_x
_atom_site_fract_y
_atom_site_fract_z
Tl1 0.2137 0.2500 0.1250
Cd1 0.0000 0.0000 0.5000
P1 0.0000 0.0000 0.0000
```

Computed properties:
As for the total energy: -2.491 eV per atom. As for the crystal system: tetragonal. The calculation puts the formation energy at 0.27 eV/atom. For the relative energy among the computed polymorphs, the calculation gives 192.7 meV per atom.